DFT (PBE) results for a relaxed structure of TcC2SeF.

Cell: 3.8150 3.8150 4.3684 Å, 90.00 90.00 90.00°
Closest atoms and distances in Å follow each position.
Space group P4/mmm (No. 123)
Asymmetric unit:
Tc 0.0000 0.0000 0.0000 (multiplicity 1)  4 Se 2.70, 8 C 2.90
C 0.0000 0.5000 0.5000 (multiplicity 2)  2 F 1.91
Se 0.5000 0.5000 0.0000 (multiplicity 1)  2 F 2.18
F 0.5000 0.5000 0.5000 (multiplicity 1)  4 C 1.91

Formation energy (no corrections) ... 2393 meV/atom
D(E_F) ... 2.780 states/eV per cell

DFT (PBE) results for a relaxed structure of LiTa2Br.

Cell: 3.4831 5.1234 8.6418 Å, 90.00 90.00 90.00°
Closest atoms and distances in Å follow each position.
Space group Cmm2 (No. 35)
Asymmetric unit:
Li 0.0000 0.0000 0.0000 (multiplicity 2)  2 Br 2.56
Ta 0.0000 0.0000 0.5162 (multiplicity 2)  2 Ta 2.67, 2 Br 2.89
Ta 0.0000 0.5000 0.2823 (multiplicity 2)  2 Ta 2.67
Br 0.0000 0.5000 0.7825 (multiplicity 2)  2 Li 2.56

Formation energy (no corrections) ... 93 meV/atom
D(E_F) ... 3.626 states/eV per cell
Energy relative to the lowest polymorph listed for this composition ... 35 meV per atom

DFT (PBE) results for a relaxed structure of SrTi2VRh.

Cell: 4.6473 4.6473 4.4791 Å, 90.00 90.00 90.00°
Closest atoms and distances in Å follow each position.
Space group P4/mmm (No. 123)
Asymmetric unit:
Sr 0.0000 0.0000 0.0000 (multiplicity 1)  2 V 2.24, 4 Ti 2.32
Ti 0.0000 0.5000 0.0000 (multiplicity 2)  2 Sr 2.32
V 0.0000 0.0000 0.5000 (multiplicity 1)  2 Sr 2.24
Rh 0.5000 0.5000 0.5000 (multiplicity 1)  8 Ti 3.23, 4 V 3.29

Total DFT energy (no corrections) ... -4.73 eV/atom
D(E_F) ... 7.843 states/eV per cell

| no. | density (g/cm3) |
| --- | --- |
| 1 | 5.75 |
| 2 | 9.66 |
| 3 | 5.79 |